# 1
First-principles (meta-GGA SCAN) data for a PBEsol-optimized structure of V2OF5, as listed in the Alexandria database.

Computed properties:
Energy above the lowest structure with this stoichiometry: 3 meV per atom
Raw formation energy: -3099 meV per atom

Unit cell a=5.1812 b=5.1812 c=13.1117 alpha=90.00 beta=90.00 gamma=120.00
Closest atoms and distances in Å follow each position.
Atoms (fractional coordinates):
V 0.0308 0.3366 0.0786  1 O 1.74, 4 F 1.90-1.93
V 0.3057 0.9692 0.4120  1 O 1.74, 4 F 1.90-1.93
V 0.3366 0.0308 0.9214  1 O 1.74, 4 F 1.90-1.93
V 0.6634 0.6943 0.7453  1 O 1.74, 4 F 1.90-1.93
V 0.6943 0.6634 0.2547  1 O 1.74, 4 F 1.90-1.93
V 0.9692 0.3057 0.5880  1 O 1.74, 4 F 1.90-1.93
O 0.0000 0.7617 0.3333  2 V 1.74
O 0.2383 0.2383 0.0000  2 V 1.74
O 0.7617 0.0000 0.6667  2 V 1.74
F 0.0000 0.9169 0.8333  2 V 1.92
F 0.0831 0.0831 0.5000  2 V 1.92
F 0.1020 0.6807 0.0037  2 V 1.90-1.93
F 0.2441 0.6589 0.5032  2 V 1.90-2.00
F 0.3193 0.4213 0.6704  2 V 1.90-1.93
F 0.3411 0.5852 0.1699  2 V 1.90-2.00
F 0.4148 0.7559 0.8366  2 V 1.90-2.00
F 0.4213 0.3193 0.3296  2 V 1.90-1.93
F 0.5787 0.8980 0.3371  2 V 1.90-1.93
F 0.5852 0.3411 0.8301  2 V 1.90-2.00
F 0.6589 0.2441 0.4968  2 V 1.90-2.00
F 0.6807 0.1020 0.9963  2 V 1.90-1.93
F 0.7559 0.4148 0.1634  2 V 1.90-2.00
F 0.8980 0.5787 0.6629  2 V 1.90-1.93
F 0.9169 0.0000 0.1667  2 V 1.92

# 2
First-principles (meta-GGA SCAN) data for a PBEsol-optimized structure of EuO2, as listed in the Alexandria database.

Computed properties:
Raw formation energy: -2418 meV per atom

Unit cell a=5.4050 b=5.4050 c=5.4050 alpha=90.00 beta=90.00 gamma=90.00
Closest atoms and distances in Å follow each position.
Atoms (fractional coordinates):
Eu 0.0000 0.0000 0.0000  8 O 2.34
Eu 0.0000 0.5000 0.5000  8 O 2.34
Eu 0.5000 0.0000 0.5000  8 O 2.34
Eu 0.5000 0.5000 0.0000  8 O 2.34
O 0.2500 0.2500 0.2500  4 Eu 2.34
O 0.2500 0.2500 0.7500  4 Eu 2.34
O 0.2500 0.7500 0.2500  4 Eu 2.34
O 0.2500 0.7500 0.7500  4 Eu 2.34
O 0.7500 0.2500 0.2500  4 Eu 2.34
O 0.7500 0.2500 0.7500  4 Eu 2.34
O 0.7500 0.7500 0.2500  4 Eu 2.34
O 0.7500 0.7500 0.7500  4 Eu 2.34

# 3
First-principles (meta-GGA SCAN) data for a PBEsol-optimized structure of MgSnAsCl2, as listed in the Alexandria database.

Computed properties:
Raw formation energy: -8 meV per atom

Unit cell a=4.8781 b=4.8781 c=5.5342 alpha=90.00 beta=90.00 gamma=90.00
Closest atoms and distances in Å follow each position.
Atoms (fractional coordinates):
Mg 0.0000 0.0000 0.0000  2 As 2.77
Sn 0.5000 0.5000 0.0000  4 Mg 3.45, 8 Cl 3.69
As 0.0000 0.0000 0.5000  4 Cl 2.44
Cl 0.0000 0.5000 0.5000  2 As 2.44
Cl 0.5000 0.0000 0.5000  2 As 2.44

# 4
First-principles (meta-GGA SCAN) data for a PBEsol-optimized structure of CaScSe2N, as listed in the Alexandria database.

Computed properties:
Raw formation energy: -55 meV per atom

Unit cell a=5.2845 b=5.2845 c=4.2170 alpha=90.00 beta=90.00 gamma=90.00
Closest atoms and distances in Å follow each position.
Atoms (fractional coordinates):
Ca 0.0000 0.0000 0.0000  2 N 2.11
Sc 0.5000 0.5000 0.5000  8 Se 3.38, 4 N 3.74
Se 0.0000 0.5000 0.0000  2 Ca 2.64
Se 0.5000 0.0000 0.0000  2 Ca 2.64
N 0.0000 0.0000 0.5000  2 Ca 2.11

# 5
First-principles (meta-GGA SCAN) data for a PBEsol-optimized structure of TiCr2Re, as listed in the Alexandria database.

Computed properties:
Energy of formation: -0.223 eV/atom

Unit cell a=5.9153 b=5.9153 c=5.9153 alpha=90.00 beta=90.00 gamma=90.00
Closest atoms and distances in Å follow each position.
Atoms (fractional coordinates):
Ti 0.0000 0.0000 0.0000  8 Cr 2.56
Ti 0.0000 0.5000 0.5000  8 Cr 2.56
Ti 0.5000 0.0000 0.5000  8 Cr 2.56
Ti 0.5000 0.5000 0.0000  8 Cr 2.56
Cr 0.2500 0.2500 0.2500  4 Re 2.56, 4 Ti 2.56
Cr 0.2500 0.2500 0.7500  4 Re 2.56, 4 Ti 2.56
Cr 0.2500 0.7500 0.2500  4 Ti 2.56, 4 Re 2.56
Cr 0.2500 0.7500 0.7500  4 Re 2.56, 4 Ti 2.56
Cr 0.7500 0.2500 0.2500  4 Ti 2.56, 4 Re 2.56
Cr 0.7500 0.2500 0.7500  4 Re 2.56, 4 Ti 2.56
Cr 0.7500 0.7500 0.2500  4 Re 2.56, 4 Ti 2.56
Cr 0.7500 0.7500 0.7500  4 Ti 2.56, 4 Re 2.56
Re 0.0000 0.0000 0.5000  8 Cr 2.56
Re 0.0000 0.5000 0.0000  8 Cr 2.56
Re 0.5000 0.0000 0.0000  8 Cr 2.56
Re 0.5000 0.5000 0.5000  8 Cr 2.56

# 6
First-principles (meta-GGA SCAN) data for a PBEsol-optimized structure of CuNiSe2, as listed in the Alexandria database.

Computed properties:
Raw formation energy: -174 meV per atom

Unit cell a=5.3220 b=5.3220 c=10.6682 alpha=90.00 beta=90.00 gamma=90.00
Closest atoms and distances in Å follow each position.
Atoms (fractional coordinates):
Cu 0.0000 0.0000 0.0000  4 Se 2.35
Cu 0.0000 0.5000 0.2500  4 Se 2.35
Cu 0.5000 0.0000 0.7500  4 Se 2.35
Cu 0.5000 0.5000 0.5000  4 Se 2.35
Ni 0.0000 0.0000 0.5000  4 Se 2.26
Ni 0.0000 0.5000 0.7500  4 Se 2.26
Ni 0.5000 0.0000 0.2500  4 Se 2.26
Ni 0.5000 0.5000 0.0000  4 Se 2.26
Se 0.2359 0.2500 0.6250  2 Ni 2.26, 2 Cu 2.35
Se 0.2500 0.7359 0.8750  2 Ni 2.26, 2 Cu 2.35
Se 0.2500 0.7641 0.3750  2 Ni 2.26, 2 Cu 2.35
Se 0.2641 0.2500 0.1250  2 Ni 2.26, 2 Cu 2.35
Se 0.7359 0.7500 0.1250  2 Ni 2.26, 2 Cu 2.35
Se 0.7500 0.2359 0.3750  2 Ni 2.26, 2 Cu 2.35
Se 0.7500 0.2641 0.8750  2 Ni 2.26, 2 Cu 2.35
Se 0.7641 0.7500 0.6250  2 Ni 2.26, 2 Cu 2.35

# 7
First-principles (meta-GGA SCAN) data for a PBEsol-optimized structure of TlZnCo2, as listed in the Alexandria database.

Computed properties:
Energy above the lowest structure with this stoichiometry: 102 meV per atom
Energy of formation: 0.532 eV/atom

Unit cell a=5.9769 b=5.9769 c=5.9769 alpha=90.00 beta=90.00 gamma=90.00
Closest atoms and distances in Å follow each position.
Atoms (fractional coordinates):
Tl 0.0000 0.0000 0.0000  8 Co 2.59
Tl 0.0000 0.5000 0.5000  8 Co 2.59
Tl 0.5000 0.0000 0.5000  8 Co 2.59
Tl 0.5000 0.5000 0.0000  8 Co 2.59
Zn 0.0000 0.0000 0.5000  8 Co 2.59
Zn 0.0000 0.5000 0.0000  8 Co 2.59
Zn 0.5000 0.0000 0.0000  8 Co 2.59
Zn 0.5000 0.5000 0.5000  8 Co 2.59
Co 0.2500 0.2500 0.2500  4 Zn 2.59, 4 Tl 2.59
Co 0.2500 0.2500 0.7500  4 Tl 2.59, 4 Zn 2.59
Co 0.2500 0.7500 0.2500  4 Tl 2.59, 4 Zn 2.59
Co 0.2500 0.7500 0.7500  4 Zn 2.59, 4 Tl 2.59
Co 0.7500 0.2500 0.2500  4 Tl 2.59, 4 Zn 2.59
Co 0.7500 0.2500 0.7500  4 Zn 2.59, 4 Tl 2.59
Co 0.7500 0.7500 0.2500  4 Zn 2.59, 4 Tl 2.59
Co 0.7500 0.7500 0.7500  4 Tl 2.59, 4 Zn 2.59

# 8
First-principles (meta-GGA SCAN) data for a PBEsol-optimized structure of Na6V2B4AsO16, as listed in the Alexandria database.

Computed properties:
Raw formation energy: -2287 meV per atom

Unit cell a=9.8407 b=9.8407 c=9.8407 alpha=60.00 beta=60.00 gamma=60.00
Closest atoms and distances in Å follow each position.
Atoms (fractional coordinates):
Na 0.0865 0.0865 0.6635  6 O 2.40-2.53
Na 0.0865 0.6635 0.0865  6 O 2.40-2.53
Na 0.0865 0.6635 0.6635  6 O 2.40-2.53
Na 0.3365 0.3365 0.9135  6 O 2.40-2.53
Na 0.3365 0.9135 0.3365  6 O 2.40-2.53
Na 0.3365 0.9135 0.9135  6 O 2.40-2.53
Na 0.6635 0.0865 0.0865  6 O 2.40-2.53
Na 0.6635 0.0865 0.6635  6 O 2.40-2.53
Na 0.6635 0.6635 0.0865  6 O 2.40-2.53
Na 0.9135 0.3365 0.3365  6 O 2.40-2.53
Na 0.9135 0.3365 0.9135  6 O 2.40-2.53
Na 0.9135 0.9135 0.3365  6 O 2.40-2.53
V 0.0000 0.5000 0.5000  6 O 1.89
V 0.5000 0.0000 0.5000  6 O 1.89
V 0.5000 0.5000 0.0000  6 O 1.89
V 0.5000 0.5000 0.5000  6 O 1.89
B 0.2899 0.2899 0.2899  3 O 1.38
B 0.2899 0.2899 0.6304  3 O 1.38
B 0.2899 0.6304 0.2899  3 O 1.38
B 0.3696 0.7101 0.7101  3 O 1.38
B 0.6304 0.2899 0.2899  3 O 1.38
B 0.7101 0.3696 0.7101  3 O 1.38
B 0.7101 0.7101 0.3696  3 O 1.38
B 0.7101 0.7101 0.7101  3 O 1.38
As 0.1250 0.1250 0.1250  4 O 1.71
As 0.8750 0.8750 0.8750  4 O 1.71
O 0.0539 0.0539 0.0539  1 As 1.71
O 0.0539 0.0539 0.3384  1 As 1.71
O 0.0539 0.3384 0.0539  1 As 1.71
O 0.1340 0.3278 0.6323  1 B 1.38
O 0.1340 0.4059 0.3278  1 B 1.38
O 0.1340 0.6323 0.4059  1 B 1.38
O 0.3278 0.1340 0.4059  1 B 1.38
O 0.3278 0.4059 0.6323  1 B 1.38
O 0.3278 0.6323 0.1340  1 B 1.38
O 0.3384 0.0539 0.0539  1 As 1.71
O 0.3677 0.5941 0.8660  1 B 1.38
O 0.3677 0.6722 0.5941  1 B 1.38
O 0.3677 0.8660 0.6722  1 B 1.38
O 0.4059 0.1340 0.6323  1 B 1.38
O 0.4059 0.3278 0.1340  1 B 1.38
O 0.4059 0.6323 0.3278  1 B 1.38
O 0.5941 0.3677 0.6722  1 B 1.38
O 0.5941 0.6722 0.8660  1 B 1.38
O 0.5941 0.8660 0.3677  1 B 1.38
O 0.6323 0.1340 0.3278  1 B 1.38
O 0.6323 0.3278 0.4059  1 B 1.38
O 0.6323 0.4059 0.1340  1 B 1.38
O 0.6616 0.9461 0.9461  1 As 1.71
O 0.6722 0.3677 0.8660  1 B 1.38
O 0.6722 0.5941 0.3677  1 B 1.38
O 0.6722 0.8660 0.5941  1 B 1.38
O 0.8660 0.3677 0.5941  1 B 1.38
O 0.8660 0.5941 0.6722  1 B 1.38
O 0.8660 0.6722 0.3677  1 B 1.38
O 0.9461 0.6616 0.9461  1 As 1.71
O 0.9461 0.9461 0.6616  1 As 1.71
O 0.9461 0.9461 0.9461  1 As 1.71

# 9
First-principles (meta-GGA SCAN) data for a PBEsol-optimized structure of NaErMo2O8, as listed in the Alexandria database.

Computed properties:
Raw formation energy: -2643 meV per atom

Unit cell a=6.6397 b=6.6397 c=6.6397 alpha=134.53 beta=134.53 gamma=66.26
Closest atoms and distances in Å follow each position.
Atoms (fractional coordinates):
Na 0.0000 0.0000 0.0000  8 O 2.43-2.45
Er 0.2500 0.7500 0.5000  8 O 2.33-2.34
Mo 0.5000 0.5000 0.0000  4 O 1.78
Mo 0.7500 0.2500 0.5000  4 O 1.78
O 0.2625 0.6543 0.0975  1 Mo 1.78
O 0.3457 0.4432 0.6082  1 Mo 1.78
O 0.4218 0.0021 0.0884  1 Mo 1.78
O 0.5568 0.1650 0.9025  1 Mo 1.78
O 0.6666 0.5782 0.5803  1 Mo 1.78
O 0.8350 0.7375 0.3918  1 Mo 1.78
O 0.9137 0.3334 0.9116  1 Mo 1.78
O 0.9979 0.0863 0.4197  1 Mo 1.78

# 10
First-principles (meta-GGA SCAN) data for a PBEsol-optimized structure of ZrZnAg, as listed in the Alexandria database.

Computed properties:
Energy of formation: 0.088 eV/atom

Unit cell a=6.1306 b=6.1306 c=6.1306 alpha=90.00 beta=90.00 gamma=90.00
Closest atoms and distances in Å follow each position.
Atoms (fractional coordinates):
Zr 0.0000 0.0000 0.0000  4 Zn 2.65
Zr 0.0000 0.5000 0.5000  4 Zn 2.65
Zr 0.5000 0.0000 0.5000  4 Zn 2.65
Zr 0.5000 0.5000 0.0000  4 Zn 2.65
Zn 0.2500 0.2500 0.2500  4 Zr 2.65, 4 Ag 2.65
Zn 0.2500 0.7500 0.7500  4 Zr 2.65, 4 Ag 2.65
Zn 0.7500 0.2500 0.7500  4 Zr 2.65, 4 Ag 2.65
Zn 0.7500 0.7500 0.2500  4 Zr 2.65, 4 Ag 2.65
Ag 0.0000 0.0000 0.5000  4 Zn 2.65
Ag 0.0000 0.5000 0.0000  4 Zn 2.65
Ag 0.5000 0.0000 0.0000  4 Zn 2.65
Ag 0.5000 0.5000 0.5000  4 Zn 2.65

| no. | calculated total energy (eV per atom) | magnetic moment (Bohr magnetons per cell) |
| --- | --- | --- |
| 1 | -10.46 | 9.00 |
| 2 | -24.48 | 20.00 |
| 3 | -15.42 | 0.00 |
| 4 | -14.73 | 2.00 |
| 5 | -31.20 | 0.00 |
| 6 | -18.06 | 0.00 |
| 7 | -29.59 | 0.01 |
| 8 | -9.52 | 2.00 |
| 9 | -17.16 | 0.00 |
| 10 | -25.11 | 0.00 |